Record 1
This record from the Alexandria database describes crystalline Al2PdPt2 at its relaxed geometry. The functional is PBEsol.

Total magnetization in μB/atom: 0.00
ρ in g cm⁻³: 12.4
DFT total energy in eV/f.u.: -32.405
ΔH_f (0 K) in meV/atom: -867.3
D(E_F) in states/eV/atom: 0.29

Lattice parameters (Å, degrees): 7.284 7.284 2.785 90.00 90.00 90.00
Sites, in units of the cell vectors:
Al 0.162 0.338 0.000
Al 0.338 0.838 0.000
Al 0.662 0.162 0.000
Al 0.838 0.662 0.000
Pd 0.000 0.000 0.500
Pd 0.500 0.500 0.500
Pt 0.137 0.637 0.500
Pt 0.363 0.137 0.500
Pt 0.637 0.863 0.500
Pt 0.863 0.363 0.500

***

Record 2
This record from the Alexandria database describes crystalline Pb2Se at its relaxed geometry. The functional is PBEsol.

Total magnetization in μB/atom: 0.00
ΔE_f (raw) in eV/atom: -0.19
ρ in g cm⁻³: 10.2
DFT total energy in eV/f.u.: -12.430
D(E_F) in states/eV/atom: 0.43

Lattice parameters (Å, degrees): 8.369 8.369 5.227 90.00 90.00 153.89
Sites, in units of the cell vectors:
Pb 0.075 0.925 0.750
Pb 0.228 0.772 0.250
Pb 0.772 0.228 0.750
Pb 0.925 0.075 0.250
Se 0.415 0.585 0.750
Se 0.585 0.415 0.250

***

Look up the total magnetization of the second one.
0.00 μB/atom

***

Among the records above, which one has the highest DFT total energy?
Pb2Se

***

What did the first record say?
This record from the Alexandria database describes crystalline Al2PdPt2 at its relaxed geometry. The functional is PBEsol.

Total magnetization in μB/atom: 0.00
ρ in g cm⁻³: 12.4
DFT total energy in eV/f.u.: -32.405
ΔH_f (0 K) in meV/atom: -867.3
D(E_F) in states/eV/atom: 0.29

Lattice parameters (Å, degrees): 7.284 7.284 2.785 90.00 90.00 90.00
Sites, in units of the cell vectors:
Al 0.162 0.338 0.000
Al 0.338 0.838 0.000
Al 0.662 0.162 0.000
Al 0.838 0.662 0.000
Pd 0.000 0.000 0.500
Pd 0.500 0.500 0.500
Pt 0.137 0.637 0.500
Pt 0.363 0.137 0.500
Pt 0.637 0.863 0.500
Pt 0.863 0.363 0.500